*a*
VCoOF2: optimized geometry, PBE with a Hubbard U.

abc: 4.0767 4.0767 3.7977
angles: 90.00 90.00 90.00
Last column: nearest neighbours and their distance in Å.
Element x y z (fractional)
Co1 0.5000 0.5000 0.5000  8 F 2.79, 4 O 2.88
F1 0.5000 0.0000 0.0000  2 V 2.04
F2 0.0000 0.5000 0.0000  2 V 2.04
O1 0.0000 0.0000 0.5000  2 V 1.90
V1 0.0000 0.0000 0.0000  2 O 1.90, 4 F 2.04

Computed properties:
Symmetry = P4/mmm, No. 123


*b*
VCoOF2: optimized geometry, PBE with a Hubbard U.

abc: 4.0146 4.0146 3.8185
angles: 90.00 90.00 90.00
Last column: nearest neighbours and their distance in Å.
Element x y z (fractional)
O1 0.0000 0.0000 0.5000  2 Co 1.91
Co1 0.0000 0.0000 0.0000  2 O 1.91, 4 F 2.01
F1 0.0000 0.5000 0.0000  2 Co 2.01
F2 0.5000 0.0000 0.0000  2 Co 2.01
V1 0.5000 0.5000 0.5000  8 F 2.77, 4 O 2.84

Computed properties:
Symmetry = P4/mmm, No. 123


Which one sits at the top of the stability order? *a* does.


*a*
ZnCoOF2: optimized geometry, PBE with a Hubbard U.

abc: 4.0511 4.0511 3.7340
angles: 90.00 90.00 90.00
Last column: nearest neighbours and their distance in Å.
Element x y z (fractional)
F1 0.5000 0.0000 0.0000  2 Co 2.03
F2 0.0000 0.5000 0.0000  2 Co 2.03
Co1 0.0000 0.0000 0.0000  2 O 1.87, 4 F 2.03
O1 0.0000 0.0000 0.5000  2 Co 1.87
Zn1 0.5000 0.5000 0.5000  8 F 2.75, 4 O 2.86

Computed properties:
Symmetry = P4/mmm, No. 123


*b*
ZnCoOF2: optimized geometry, PBE with a Hubbard U.

abc: 3.9035 3.9035 4.0564
angles: 90.00 90.00 90.00
Last column: nearest neighbours and their distance in Å.
Element x y z (fractional)
O1 0.0000 0.0000 0.5000  2 Zn 2.03
Co1 0.5000 0.5000 0.5000  4 O 2.76, 8 F 2.81
F1 0.0000 0.5000 0.0000  2 Zn 1.95
F2 0.5000 0.0000 0.0000  2 Zn 1.95
Zn1 0.0000 0.0000 0.0000  4 F 1.95, 2 O 2.03

Computed properties:
Symmetry = P4/mmm, No. 123


Which one sits at the top of the stability order? *a* does.


*a*
ZrCoOF2: optimized geometry, PBE with a Hubbard U.

abc: 3.9498 3.9498 3.9630
angles: 90.00 90.00 90.00
Last column: nearest neighbours and their distance in Å.
Element x y z (fractional)
F1 0.0000 0.5000 0.0000  2 Co 1.97
F2 0.5000 0.0000 0.0000  2 Co 1.97
Co1 0.0000 0.0000 0.0000  4 F 1.97, 2 O 1.98
Zr1 0.5000 0.5000 0.5000  4 O 2.79, 8 F 2.80
O1 0.0000 0.0000 0.5000  2 Co 1.98

Computed properties:
Symmetry = P4/mmm, No. 123


*b*
ZrCoOF2: optimized geometry, PBE with a Hubbard U.

abc: 4.3293 4.3293 4.0741
angles: 90.00 90.00 90.00
Last column: nearest neighbours and their distance in Å.
Element x y z (fractional)
Zr1 0.0000 0.0000 0.0000  2 O 2.04, 4 F 2.16
F1 0.0000 0.5000 0.0000  2 Zr 2.16
F2 0.5000 0.0000 0.0000  2 Zr 2.16
Co1 0.5000 0.5000 0.5000  8 F 2.97, 4 O 3.06
O1 0.0000 0.0000 0.5000  2 Zr 2.04

Computed properties:
Symmetry = P4/mmm, No. 123


Which one sits at the top of the stability order? *b* does.


*a*
CoOsF2: optimized geometry, PBE with a Hubbard U.

abc: 4.1812 4.1812 4.1812
angles: 60.00 60.00 60.00
Last column: nearest neighbours and their distance in Å.
Element x y z (fractional)
Os1 0.5000 0.5000 0.5000  8 F 2.56
Co1 0.0000 0.0000 0.0000  8 F 2.56
F1 0.7500 0.7500 0.7500  4 Co 2.56, 4 Os 2.56
F2 0.2500 0.2500 0.2500  4 Os 2.56, 4 Co 2.56

Computed properties:
Symmetry = Fm-3m, No. 225


*b*
CoOsF2: optimized geometry, PBE with a Hubbard U.

abc: 8.9458 8.9458 8.9458
angles: 17.23 17.23 17.23
Last column: nearest neighbours and their distance in Å.
Element x y z (fractional)
Co1 0.0000 0.0000 0.0000  2 F 1.74
F1 0.0659 0.0659 0.0659  1 Co 1.74
F2 0.9341 0.9341 0.9341  1 Co 1.74
Os1 0.5000 0.5000 0.5000  6 Os 2.68

Computed properties:
Symmetry = R-3m, No. 166


Which one sits at the top of the stability order? *b* does.


*a*
CoOsF2: optimized geometry, PBE with a Hubbard U.

abc: 7.3893 7.3893 7.3893
angles: 21.19 21.19 21.19
Last column: nearest neighbours and their distance in Å.
Element x y z (fractional)
F1 0.0957 0.0957 0.0957  1 Os 2.07, 3 Co 2.20
F2 0.9043 0.9043 0.9043  1 Os 2.07, 3 Co 2.20
Os1 0.0000 0.0000 0.0000  2 F 2.07
Co1 0.5000 0.5000 0.5000  6 F 2.20

Computed properties:
Symmetry = R-3m, No. 166


*b*
CoOsF2: optimized geometry, PBE with a Hubbard U.

abc: 5.0442 5.0442 5.7596
angles: 64.03 64.03 90.00
Last column: nearest neighbours and their distance in Å.
Element x y z (fractional)
Os1 0.0000 0.0000 0.0000  4 F 2.30
Os2 0.7500 0.2500 0.5000  4 F 2.30
F1 0.1827 0.6250 0.2500  2 Co 1.95
F2 0.5673 0.1250 0.2500  2 Co 1.95
F3 0.3750 0.4327 0.7500  2 Co 1.95
F4 0.8750 0.8173 0.7500  2 Co 1.95
Co1 0.2500 0.7500 0.5000  4 F 1.95
Co2 0.5000 0.5000 0.0000  4 F 1.95

Computed properties:
Symmetry = I-42d, No. 122


Which one sits at the top of the stability order? *a* does.


*a*
CoOs3F: optimized geometry, PBE with a Hubbard U.

abc: 4.4639 4.4639 4.4639
angles: 90.00 90.00 90.00
Last column: nearest neighbours and their distance in Å.
Element x y z (fractional)
Os1 0.5000 0.0000 0.0000  2 Co 2.23
Os2 0.0000 0.0000 0.5000  2 Co 2.23
Os3 0.0000 0.5000 0.0000  2 Co 2.23
F1 0.5000 0.5000 0.5000  12 Os 3.16
Co1 0.0000 0.0000 0.0000  6 Os 2.23

Computed properties:
Symmetry = Pm-3m, No. 221


*b*
CoOs3F: optimized geometry, PBE with a Hubbard U.

abc: 4.1762 4.1762 4.1762
angles: 90.00 90.00 90.00
Last column: nearest neighbours and their distance in Å.
Element x y z (fractional)
F1 0.0000 0.0000 0.0000  6 Os 2.09
Os1 0.5000 0.0000 0.0000  2 F 2.09
Os2 0.0000 0.0000 0.5000  2 F 2.09
Os3 0.0000 0.5000 0.0000  2 F 2.09
Co1 0.5000 0.5000 0.5000  12 Os 2.95

Computed properties:
Symmetry = Pm-3m, No. 221


Which one sits at the top of the stability order? *b* does.